# TaOsW2

TaOsW2 after structural relaxation (PBE, Alexandria via LeMat-Bulk). Values from VASP.

## Properties
Density of states at the Fermi level: 2.805 states/eV/f.u.
Total magnetic moment: 0.0 μB/f.u.
Raw total energy: -49.21 eV for the cell shown

Geometry as Quantum ESPRESSO input:
```
&SYSTEM
  ibrav = 0, nat = 4, ntyp = 3
/
ATOMIC_SPECIES
Os 190.23 Os.upf
Ta 180.95 Ta.upf
W 183.84 W.upf
ATOMIC_POSITIONS crystal
Os 0.5000 0.0000 0.5000
Ta 0.0000 0.5000 0.5000
W 0.0000 0.0000 0.0000
W 0.5000 0.5000 0.0000
CELL_PARAMETERS angstrom
3.1744 0.0000 0.0000
0.0000 4.4776 0.0000
0.0000 0.0000 4.5425
```